# 1
The following is a meta-GGA SCAN calculation of CrWN2F at its PBEsol-relaxed geometry, from the Alexandria database.

```
CrWN2F
1.0
-2.6125 1.2570 -2.6688
-2.7478 -2.3341 1.5905
-1.0726 2.9132 2.4220
Cr N W F
1 2 1 1
direct
0.5000 0.5000 0.5000
0.0000 0.5000 0.0000
0.5000 0.0000 0.0000
0.0000 0.0000 0.0000
0.0000 0.0000 0.5000
```

Calculated values
The formation energy without anion corrections is -0.3193 eV/atom.

# 2
The following is a meta-GGA SCAN calculation of YCrNF2 at its PBEsol-relaxed geometry, from the Alexandria database.

```
YCrNF2
1.0
4.1941 0.0000 0.0000
0.0000 4.1941 0.0000
0.0000 0.0000 4.6011
Y Cr N F
1 1 1 2
direct
0.0000 0.0000 0.0000
0.5000 0.5000 0.5000
0.0000 0.0000 0.5000
0.0000 0.5000 0.0000
0.5000 0.0000 0.0000
```

Calculated values
The formation energy without anion corrections is -1.7694 eV/atom.

# 3
The following is a meta-GGA SCAN calculation of NaCrF6 at its PBEsol-relaxed geometry, from the Alexandria database.

```
NaCrF6
1.0
-1.0461 2.5579 -4.4419
-4.8332 1.7791 -0.9178
-0.8469 5.5542 0.3172
Cr F Na
1 6 1
direct
0.0000 0.0000 0.0000
0.7876 0.0882 0.7843
0.0882 0.3399 0.7843
0.6601 0.2124 0.2157
0.9118 0.6601 0.2157
0.2124 0.9118 0.2157
0.3399 0.7876 0.7843
0.5000 0.5000 0.5000
```

Calculated values
The formation energy without anion corrections is -2.5491 eV/atom.

# 4
The following is a meta-GGA SCAN calculation of Na3CrF6 at its PBEsol-relaxed geometry, from the Alexandria database.

```
Na3CrF6
1.0
-5.1580 1.6374 -0.6780
-1.7718 -4.1222 3.5249
0.6987 4.9212 6.1063
Na Cr F
6 2 12
direct
0.9816 0.5594 0.7445
0.5184 0.0594 0.7555
0.0184 0.4406 0.2555
0.4816 0.9406 0.2445
0.5000 0.5000 0.0000
0.0000 0.0000 0.5000
0.5000 0.5000 0.5000
0.0000 0.0000 0.0000
0.3315 0.2235 0.4274
0.1685 0.7235 0.0726
0.6685 0.7765 0.5726
0.8315 0.2765 0.9274
0.7847 0.3213 0.5523
0.7153 0.8213 0.9477
0.2153 0.6787 0.4477
0.2847 0.1787 0.0523
0.8819 0.0565 0.2256
0.6181 0.5565 0.2744
0.1181 0.9435 0.7744
0.3819 0.4435 0.7256
```

Calculated values
The formation energy without anion corrections is -3.0919 eV/atom.

Which of these has the lowest formation energy without anion corrections? Na3CrF6

Which of these has the highest formation energy without anion corrections? CrWN2F

Look up the formation energy without anion corrections of the second one. -1.7694 eV/atom